! Tb4Dy7Ho GGA-PBE optimized geometry; values from VASP
&SYSTEM
  ibrav = 0, nat = 12, ntyp = 3
/
ATOMIC_SPECIES
Tb 158.93 Tb.upf
Dy 162.50 Dy.upf
Ho 164.93 Ho.upf
ATOMIC_POSITIONS angstrom
Tb 1.767 2.161 2.489
Tb 4.425 6.176 6.059
Tb 5.006 0.886 2.720
Tb 7.664 4.902 6.290
Dy 2.256 2.028 8.323
Dy 2.670 5.491 3.155
Dy 3.609 2.866 5.381
Dy 3.235 0.000 0.000
Dy 5.822 4.197 3.398
Dy 6.761 1.572 5.624
Dy 7.175 5.034 0.456
Ho 3.694 3.350 0.000
CELL_PARAMETERS angstrom
6.470 0.000 0.000
0.918 6.700 0.000
2.044 0.362 8.779
! **ρ**: 8.457 Mg/m³
! **Formation energy from the elements**: 0.0884 eV/atom
! **Energy above the most stable polymorph in this dataset**: 0.0 meV per atom
! **E**: -54.253 eV/cell